{"formula": "PrNi2AsO6", "functional": "GGA+U", "state": "optimized geometry", "volume_a3_per_atom": 11.5, "e_tot_ev_per_fu": -61.0, "m_tot_mub_per_cell": 4.00, "spacegroup": "R3", "lattice": [[-3.214, 0.512, 4.172], [-3.416, -3.859, 1.198], [1.069, -3.157, 4.565]], "species": ["Ni", "Ni", "O", "O", "O", "O", "O", "O", "As", "Pr"], "fractional_positions": [[0.524, 0.524, 0.428], [0.010, 0.010, 0.969], [0.705, 0.169, 0.769], [0.952, 0.574, 0.223], [0.252, 0.952, 0.223], [0.574, 0.251, 0.223], [0.357, 0.705, 0.769], [0.169, 0.357, 0.769], [0.323, 0.323, 0.031], [0.796, 0.796, 0.612]]}